GGA+U Cr3PdO, optimized geometry; mass density = 6.13 g cm⁻³; raw total energy = -6.873 eV per atom; ΔE to the lowest computed polymorph = 0.000 eV/atom
1.0
-3.4624 0.0822 2.4217
2.3905 -0.5746 3.4373
0.3962 4.1860 0.4243
O Cr Pd
1 3 1
Cartesian
0.0000 0.0000 0.0000 O
1.1952 -0.2873 1.7186 Cr
-1.7312 0.0411 1.2108 Cr
0.1981 2.0930 0.2121 Cr
-0.3379 1.8468 3.1416 Pd


GGA+U CrPdO2, optimized geometry; mass density = 6.63 g cm⁻³; raw total energy = -6.990 eV per atom; ΔE to the lowest computed polymorph = 0.007 eV/atom
1.0
3.0111 0.0000 0.0000
-1.5056 2.6077 0.0000
0.0000 0.0000 12.1491
Pd Cr O
2 2 4
Cartesian
1.5056 0.8692 9.1118 Pd
0.0000 1.7385 3.0373 Pd
0.0000 0.0000 6.0745 Cr
0.0000 0.0000 0.0000 Cr
1.5056 0.8692 7.0851 O
0.0000 1.7385 5.0640 O
1.5056 0.8692 11.1385 O
0.0000 1.7385 1.0106 O


GGA+U PmCr2PdO6, optimized geometry; mass density = 6.39 g cm⁻³; raw total energy = -7.295 eV per atom
1.0
5.3669 0.0563 0.0101
2.7308 4.7646 -0.0611
2.7108 1.5370 4.5987
O Cr Pm Pd
6 2 1 1
Cartesian
7.1121 3.4301 1.0094 O
4.2898 4.4551 1.0081 O
4.7106 1.5406 1.0941 O
6.4431 2.0402 3.4131 O
3.9233 2.8357 3.4682 O
5.8760 4.7416 3.2241 O
2.7190 1.5249 4.4567 Cr
5.3979 3.1770 1.9925 Cr
8.1200 4.8004 2.9495 Pm
2.7520 1.6353 0.2100 Pd